Record 1
PmPuMgAl after structural relaxation. Source: Alexandria via LeMat-Bulk, functional GGA-PBE.

The structure in POSCAR format:
```
PmPuMgAl
1.0
-4.7981 -0.7629 -2.0380
-3.0082 -3.9543 1.7526
-4.2835 1.0295 2.8894
Al Pu Pm Mg
1 1 1 1
Direct
0.5000 0.5000 0.5000 Al
0.2500 0.2500 0.2500 Pu
0.7500 0.7500 0.7500 Pm
0.0000 0.0000 0.0000 Mg
```

Values from the calculation:
As for the uncorrected energy: -24.67 eV/cell. Its symmetry is F-43m (216). As for the density of states at the Fermi level: 7.5 states/eV/f.u.

Record 2
Pm2MgAl2Rh5 after structural relaxation. Source: Alexandria via LeMat-Bulk, functional GGA-PBE.

The structure in POSCAR format:
```
Pm2MgAl2Rh5
1.0
3.4742 0.0000 0.0000
0.0000 10.0869 0.0000
0.0000 0.0000 10.0869
Al Pm Rh Mg
4 4 10 2
Direct
0.0000 0.3779 0.1221 Al
0.0000 0.1221 0.6221 Al
0.0000 0.6221 0.8779 Al
0.0000 0.8779 0.3779 Al
0.0000 0.1761 0.3239 Pm
0.0000 0.3239 0.8239 Pm
0.0000 0.8239 0.6761 Pm
0.0000 0.6761 0.1761 Pm
0.5000 0.0669 0.7904 Rh
0.5000 0.5669 0.7096 Rh
0.5000 0.2904 0.5669 Rh
0.5000 0.2096 0.0669 Rh
0.5000 0.7096 0.4331 Rh
0.5000 0.0000 0.5000 Rh
0.5000 0.7904 0.9331 Rh
0.5000 0.4331 0.2904 Rh
0.5000 0.9331 0.2096 Rh
0.5000 0.5000 0.0000 Rh
0.0000 0.5000 0.5000 Mg
0.0000 0.0000 0.0000 Mg
```

Values from the calculation:
As for the uncorrected energy: -125.71 eV/cell. Its symmetry is P4/mbm (127). As for the density of states at the Fermi level: 4.2 states/eV/f.u.

Record 3
PmMgAlRh after structural relaxation. Source: Alexandria via LeMat-Bulk, functional GGA-PBE.

The structure in POSCAR format:
```
PmMgAlRh
1.0
4.8568 0.0000 0.0000
2.4284 4.2061 0.0000
2.4284 1.4020 3.9656
Mg Pm Al Rh
1 1 1 1
Direct
0.7500 0.7500 0.7500 Mg
0.2500 0.2500 0.2500 Pm
0.5000 0.5000 0.5000 Al
0.0000 0.0000 0.0000 Rh
```

Values from the calculation:
As for the uncorrected energy: -18.92 eV/cell. Its symmetry is F-43m (216). As for the density of states at the Fermi level: 3.3 states/eV/f.u.

Record 4
PmMgAlS4 after structural relaxation. Source: Alexandria via LeMat-Bulk, functional GGA-PBE.

The structure in POSCAR format:
```
PmMgAlS4
1.0
-3.6143 2.0713 -6.4373
2.3453 -2.6940 -6.7501
-4.3153 -5.0496 -3.7684
Al Pm S Mg
2 2 8 2
Direct
0.3719 0.3781 0.8781 Al
0.6281 0.6219 0.1219 Al
0.0000 0.0000 0.0000 Pm
0.0000 0.5000 0.5000 Pm
0.2650 0.2466 0.7466 S
0.2583 0.7534 0.2534 S
0.7350 0.7534 0.2534 S
0.7417 0.2466 0.7466 S
0.7411 0.2521 0.2657 S
0.2589 0.7479 0.7343 S
0.7411 0.7657 0.7521 S
0.2589 0.2343 0.2479 S
0.5000 0.0000 0.5000 Mg
0.0000 0.0000 0.5000 Mg
```

Values from the calculation:
Its symmetry is Imma (74). Its energy relative to the elements, uncorrected is -1431 meV/atom.

Record 5
PmMgScAl after structural relaxation. Source: Alexandria via LeMat-Bulk, functional GGA-PBE.

The structure in POSCAR format:
```
PmMgScAl
1.0
5.1170 0.0000 0.0000
2.5585 4.4314 0.0000
2.5585 1.4771 4.1780
Pm Mg Al Sc
1 1 1 1
Direct
0.5000 0.5000 0.5000 Pm
0.2500 0.2500 0.2500 Mg
0.7500 0.7500 0.7500 Al
0.0000 0.0000 0.0000 Sc
```

Values from the calculation:
As for the uncorrected energy: -17.47 eV/cell. Its symmetry is F-43m (216). As for the density of states at the Fermi level: 2.4 states/eV/f.u.

Record 6
PmThMgAl after structural relaxation. Source: Alexandria via LeMat-Bulk, functional GGA-PBE.

The structure in POSCAR format:
```
PmThMgAl
1.0
5.3315 0.0000 0.0000
2.6658 4.6172 0.0000
2.6658 1.5391 4.3532
Pm Mg Al Th
1 1 1 1
Direct
0.2500 0.2500 0.2500 Pm
0.0000 0.0000 0.0000 Mg
0.5000 0.5000 0.5000 Al
0.7500 0.7500 0.7500 Th
```

Values from the calculation:
As for the uncorrected energy: -18.10 eV/cell. Its symmetry is F-43m (216). As for the density of states at the Fermi level: 3.0 states/eV/f.u.

Record 7
PmMg2AlZn2 after structural relaxation. Source: Alexandria via LeMat-Bulk, functional GGA-PBE.

The structure in POSCAR format:
```
PmMg2AlZn2
1.0
5.0837 0.0000 0.0000
0.0000 5.0837 0.0000
-2.5419 -2.5419 5.5152
Zn Al Pm Mg
2 1 1 2
Direct
0.2181 0.2181 0.4362 Zn
0.7819 0.7819 0.5638 Zn
0.0000 0.0000 0.0000 Al
0.5000 0.5000 0.0000 Pm
0.7500 0.2500 0.5000 Mg
0.2500 0.7500 0.5000 Mg
```

Values from the calculation:
As for the uncorrected energy: -13.64 eV/cell. Its symmetry is I4/mmm (139). As for the density of states at the Fermi level: 3.0 states/eV/f.u.

Record 8
Pm2MgAl4Zn3 after structural relaxation. Source: Alexandria via LeMat-Bulk, functional GGA-PBE.

The structure in POSCAR format:
```
Pm2MgAl4Zn3
1.0
-1.5952 3.0320 2.5363
2.1659 -1.6175 3.2960
8.5647 6.5323 -2.4223
Zn Al Pm Mg
3 4 2 1
Direct
0.5000 0.0000 0.8673 Zn
0.0000 0.0000 0.5000 Zn
0.0000 0.5000 0.1327 Zn
0.5000 0.5000 0.0000 Al
0.0000 0.5000 0.3540 Al
0.0000 0.0000 0.0000 Al
0.5000 0.0000 0.6460 Al
0.0000 0.5000 0.7578 Pm
0.5000 0.0000 0.2422 Pm
0.5000 0.5000 0.5000 Mg
```

Values from the calculation:
As for the uncorrected energy: -33.52 eV/cell. Its symmetry is P-4m2 (115). As for the density of states at the Fermi level: 2.2 states/eV/f.u.

Record 9
PmMgAlZn after structural relaxation. Source: Alexandria via LeMat-Bulk, functional GGA-PBE.

The structure in POSCAR format:
```
PmMgAlZn
1.0
-1.1236 -4.7310 -1.0067
-0.7522 -3.2164 3.7077
-4.5705 -1.7144 0.9108
Mg Al Zn Pm
1 1 1 1
Direct
0.2500 0.2500 0.2500 Mg
0.5000 0.5000 0.5000 Al
0.0000 0.0000 0.0000 Zn
0.7500 0.7500 0.7500 Pm
```

Values from the calculation:
As for the uncorrected energy: -12.47 eV/cell. Its symmetry is F-43m (216). As for the density of states at the Fermi level: 1.2 states/eV/f.u.

Record 10
Pm4MgAl2Zn after structural relaxation. Source: Alexandria via LeMat-Bulk, functional GGA-PBE.

The structure in POSCAR format:
```
Pm4MgAl2Zn
1.0
5.2741 0.0000 0.0000
2.6370 4.5675 0.0000
2.6370 1.5225 8.6069
Pm Zn Al Mg
4 1 2 1
Direct
0.8704 0.8704 0.3887 Pm
0.6202 0.6202 0.1395 Pm
0.3798 0.3798 0.8605 Pm
0.1296 0.1296 0.6113 Pm
0.5000 0.5000 0.5000 Zn
0.2544 0.2544 0.2367 Al
0.7456 0.7456 0.7633 Al
0.0000 0.0000 0.0000 Mg
```

Values from the calculation:
As for the uncorrected energy: -31.87 eV/cell. Its symmetry is R-3m (166). As for the density of states at the Fermi level: 6.9 states/eV/f.u.

Record 11
PmMgZrAl after structural relaxation. Source: Alexandria via LeMat-Bulk, functional GGA-PBE.

The structure in POSCAR format:
```
PmMgZrAl
1.0
5.0840 0.0000 0.0000
2.5420 4.4029 0.0000
2.5420 1.4676 4.1511
Pm Zr Al Mg
1 1 1 1
Direct
0.5000 0.5000 0.5000 Pm
0.0000 0.0000 0.0000 Zr
0.2500 0.2500 0.2500 Al
0.7500 0.7500 0.7500 Mg
```

Values from the calculation:
As for the uncorrected energy: -19.26 eV/cell. Its symmetry is F-43m (216). As for the density of states at the Fermi level: 2.7 states/eV/f.u.

Record 12
Pr6MgAl3 after structural relaxation. Source: Alexandria via LeMat-Bulk, functional GGA-PBE.

The structure in POSCAR format:
```
Pr6MgAl3
1.0
5.2956 0.0000 0.0000
0.0000 9.1949 -2.9409
0.0000 0.1065 11.8339
Pr Al Mg
12 6 2
Direct
0.7500 0.3457 0.3194 Pr
0.7500 0.5452 0.9141 Pr
0.2500 0.1230 0.1502 Pr
0.7500 0.1758 0.7084 Pr
0.2500 0.8242 0.2916 Pr
0.2500 0.4548 0.0859 Pr
0.2500 0.6543 0.6806 Pr
0.2500 0.1046 0.8766 Pr
0.2500 0.2718 0.5035 Pr
0.7500 0.7282 0.4965 Pr
0.7500 0.8770 0.8498 Pr
0.7500 0.8954 0.1234 Pr
0.7500 0.4605 0.6223 Al
0.7500 0.6189 0.2158 Al
0.2500 0.7720 0.9734 Al
0.2500 0.3811 0.7842 Al
0.7500 0.2280 0.0266 Al
0.2500 0.5395 0.3777 Al
0.7500 0.0384 0.4140 Mg
0.2500 0.9616 0.5860 Mg
```

Values from the calculation:
Its symmetry is P2_1/m (11). As for the density of states at the Fermi level: 8.3 states/eV/f.u. The calculation puts the relative energy among the computed polymorphs at 0.000 eV per atom.

Record 13
Pr2MgAl after structural relaxation. Source: Alexandria via LeMat-Bulk, functional GGA-PBE.

The structure in POSCAR format:
```
Pr2MgAl
1.0
5.4040 0.0000 0.0000
2.7020 4.6800 0.0000
2.7020 1.5600 4.4124
Pr Al Mg
2 1 1
Direct
0.5000 0.5000 0.5000 Pr
0.0000 0.0000 0.0000 Pr
0.2500 0.2500 0.2500 Al
0.7500 0.7500 0.7500 Mg
```

Values from the calculation:
As for the uncorrected energy: -15.89 eV/cell. Its symmetry is Fm-3m (225). As for the density of states at the Fermi level: 2.7 states/eV/f.u.

Record 14
Pr3Mg5Al2 after structural relaxation. Source: Alexandria via LeMat-Bulk, functional GGA-PBE.

The structure in POSCAR format:
```
Pr3Mg5Al2
1.0
6.3511 0.0000 0.0000
3.1756 9.1477 -1.3575
3.1756 1.1187 9.1799
Mg Al Pr
10 4 6
Direct
0.1153 0.5353 0.2341 Mg
0.4947 0.2553 0.2553 Mg
0.8847 0.4647 0.7659 Mg
0.9947 0.2553 0.2553 Mg
0.2500 0.5000 0.5000 Mg
0.0053 0.7447 0.7447 Mg
0.3847 0.7659 0.4647 Mg
0.5053 0.7447 0.7447 Mg
0.7500 0.5000 0.5000 Mg
0.6153 0.2341 0.5353 Mg
0.1423 0.7083 0.0072 Al
0.3577 0.9928 0.2917 Al
0.8577 0.2917 0.9928 Al
0.6423 0.0072 0.7083 Al
0.8702 0.8885 0.3710 Pr
0.3702 0.3710 0.8885 Pr
0.1298 0.1115 0.6290 Pr
0.6298 0.6290 0.1115 Pr
0.2500 0.0000 0.0000 Pr
0.7500 0.0000 0.0000 Pr
```

Values from the calculation:
As for the uncorrected energy: -60.84 eV/cell. Its symmetry is Ibam (72). As for the density of states at the Fermi level: 8.2 states/eV/f.u.

Record 15
PrMg4Al2 after structural relaxation. Source: Alexandria via LeMat-Bulk, functional GGA-PBE.

The structure in POSCAR format:
```
PrMg4Al2
1.0
-0.2200 -5.3242 1.7073
0.6351 -4.3107 -4.2909
5.3150 -2.9973 0.4081
Pr Mg Al
1 4 2
Direct
0.0000 0.0000 0.0000 Pr
0.3146 0.9711 0.3987 Mg
0.3147 0.3987 0.9710 Mg
0.6853 0.0289 0.6013 Mg
0.6853 0.6013 0.0290 Mg
0.7660 0.5004 0.5004 Al
0.2341 0.4996 0.4996 Al
```

Values from the calculation:
As for the uncorrected energy: -18.93 eV/cell. Its symmetry is C2/m (12). As for the density of states at the Fermi level: 4.5 states/eV/f.u.

Record 16
Pr6MgAl3 after structural relaxation. Source: Alexandria via LeMat-Bulk, functional GGA-PBE.

The structure in POSCAR format:
```
Pr6MgAl3
1.0
8.7268 0.0000 -0.1698
0.0000 7.8833 0.0000
-0.2126 0.0000 8.8926
Pr Al Mg
12 6 2
Direct
0.3311 0.8617 0.4324 Pr
0.1577 0.3412 0.4293 Pr
0.2309 0.6106 0.7524 Pr
0.8311 0.6383 0.9324 Pr
0.1689 0.3617 0.0676 Pr
0.3423 0.8412 0.0707 Pr
0.2691 0.1106 0.7476 Pr
0.6577 0.1588 0.9293 Pr
0.6689 0.1383 0.5676 Pr
0.7309 0.8894 0.2524 Pr
0.8423 0.6588 0.5707 Pr
0.7691 0.3894 0.2476 Pr
0.9587 0.3173 0.7437 Al
0.0000 0.0000 0.5000 Al
0.5000 0.5000 0.0000 Al
0.0413 0.6827 0.2563 Al
0.4587 0.1827 0.2437 Al
0.5413 0.8173 0.7563 Al
0.5000 0.5000 0.5000 Mg
0.0000 0.0000 0.0000 Mg
```

Values from the calculation:
Its symmetry is P2_1/c (14). As for the density of states at the Fermi level: 10.5 states/eV/f.u. The calculation puts the relative energy among the computed polymorphs at 0.162 eV per atom.

Record 17
Pr6Mg2Al after structural relaxation. Source: Alexandria via LeMat-Bulk, functional GGA-PBE.

The structure in POSCAR format:
```
Pr6Mg2Al
1.0
9.0823 0.4738 0.4655
-3.0026 8.5847 -0.4655
-2.8497 -4.6569 7.2885
Pr Al Mg
12 2 4
Direct
0.1937 0.7390 0.9327 Pr
0.7515 0.0736 0.3221 Pr
0.7515 0.4295 0.6779 Pr
0.0752 0.2551 0.8200 Pr
0.8063 0.7390 0.5453 Pr
0.2485 0.9264 0.6779 Pr
0.8063 0.2610 0.0673 Pr
0.2485 0.5705 0.3221 Pr
0.4351 0.2551 0.1800 Pr
0.5649 0.7449 0.8200 Pr
0.9248 0.7449 0.1800 Pr
0.1937 0.2610 0.4547 Pr
0.0000 0.5000 0.5000 Al
0.0000 0.0000 0.0000 Al
0.5000 0.3555 0.8555 Mg
0.3698 0.0000 0.3698 Mg
0.6302 0.0000 0.6302 Mg
0.5000 0.6445 0.1445 Mg
```

Values from the calculation:
As for the uncorrected energy: -71.79 eV/cell. Its symmetry is Immm (71). As for the density of states at the Fermi level: 11.6 states/eV/f.u.

Record 18
Pr4MgAl after structural relaxation. Source: Alexandria via LeMat-Bulk, functional GGA-PBE.

The structure in POSCAR format:
```
Pr4MgAl
1.0
-2.6543 -2.3269 -0.8321
4.1260 -6.5385 5.1232
-2.8227 1.4344 4.9929
Al Pr Mg
1 4 1
Direct
0.0000 0.0000 0.0000 Al
0.0000 0.1893 0.5255 Pr
0.5000 0.2814 0.0105 Pr
0.0000 0.8107 0.4745 Pr
0.5000 0.7186 0.9895 Pr
0.5000 0.5000 0.5000 Mg
```

Values from the calculation:
Its symmetry is P2/m (10). As for the density of states at the Fermi level: 7.2 states/eV/f.u. The calculation puts the relative energy among the computed polymorphs at 0.000 eV per atom.

Record 19
Pr2MgAl after structural relaxation. Source: Alexandria via LeMat-Bulk, functional GGA-PBE.

The structure in POSCAR format:
```
Pr2MgAl
1.0
-1.3526 -3.4473 0.3154
1.4635 -2.7617 -2.0110
6.6970 -3.9970 6.9285
Mg Al Pr
1 1 2
Direct
0.5000 0.5000 0.5000 Mg
0.0000 0.0000 0.0000 Al
0.2580 0.2580 0.2261 Pr
0.7420 0.7420 0.7739 Pr
```

Values from the calculation:
As for the uncorrected energy: -14.97 eV/cell. Its symmetry is R-3m (166). As for the density of states at the Fermi level: 3.8 states/eV/f.u.

Record 20
PrMg16Al12 after structural relaxation. Source: Alexandria via LeMat-Bulk, functional GGA-PBE.

The structure in POSCAR format:
```
PrMg16Al12
1.0
5.2986 -7.5650 0.0499
5.2986 7.5650 0.0499
-5.5712 0.0000 7.3667
Mg Al Pr
16 12 1
Direct
0.0026 0.3448 0.0026 Mg
0.6057 0.3121 0.9993 Mg
0.3448 0.0026 0.0026 Mg
0.6057 0.9993 0.3121 Mg
0.3121 0.9993 0.6057 Mg
0.7205 0.3876 0.3876 Mg
0.9993 0.3121 0.6057 Mg
0.6852 0.6852 0.2834 Mg
0.2834 0.6852 0.6852 Mg
0.0026 0.0026 0.3448 Mg
0.3876 0.3876 0.7205 Mg
0.9993 0.6057 0.3121 Mg
0.3121 0.6057 0.9993 Mg
0.6852 0.2834 0.6852 Mg
0.3876 0.7205 0.3876 Mg
0.0045 0.0045 0.0045 Mg
0.8156 0.6358 0.0029 Al
0.6358 0.8156 0.0029 Al
0.3694 0.1854 0.3694 Al
0.6358 0.0029 0.8156 Al
0.1884 0.1884 0.8256 Al
0.8156 0.0029 0.6358 Al
0.8256 0.1884 0.1884 Al
0.1854 0.3694 0.3694 Al
0.1884 0.8256 0.1884 Al
0.0029 0.8156 0.6358 Al
0.3694 0.3694 0.1854 Al
0.0029 0.6358 0.8156 Al
0.6266 0.6266 0.6266 Pr
```

Values from the calculation:
Its symmetry is R3m (160). As for the density of states at the Fermi level: 8.5 states/eV/f.u. The calculation puts the relative energy among the computed polymorphs at 0.002 eV per atom.

Number 1: total magnetic moment 5.998 μB/f.u.. Number 2: total magnetic moment 0.000 μB/f.u.. Number 3: total magnetic moment 0.000 μB/f.u.. Number 4: total magnetic moment 0.000 μB/f.u.. Number 5: total magnetic moment 0.000 μB/f.u.. Number 6: total magnetic moment 0.000 μB/f.u.. Number 7: total magnetic moment 0.000 μB/f.u.. Number 8: total magnetic moment 0.000 μB/f.u.. Number 9: total magnetic moment 0.000 μB/f.u.. Number 10: total magnetic moment 0.000 μB/f.u.. Number 11: total magnetic moment 0.000 μB/f.u.. Number 12: total magnetic moment 0.000 μB/f.u.. Number 13: total magnetic moment 0.000 μB/f.u.. Number 14: total magnetic moment 0.000 μB/f.u.. Number 15: total magnetic moment 0.000 μB/f.u.. Number 16: total magnetic moment 0.000 μB/f.u.. Number 17: total magnetic moment 0.000 μB/f.u.. Number 18: total magnetic moment 0.000 μB/f.u.. Number 19: total magnetic moment 0.000 μB/f.u.. Number 20: total magnetic moment 0.000 μB/f.u..